(1)
# BaZrSc2

A PBEsol-optimized structure of BaZrSc2 (meta-GGA SCAN, Alexandria).

Lattice parameters (Å, degrees): 3.4379 5.6448 11.3320 90.00 90.00 90.00
Last column: nearest neighbours and their distance in Å.
Fractional coordinates of all 8 atoms:
Ba: 0.0000 0.0000 0.0000  4 Zr 3.30, 2 Ba 3.44, 4 Sc 3.56
Ba: 0.5000 0.5000 0.5000  4 Zr 3.30, 2 Ba 3.44, 4 Sc 3.56
Zr: 0.0000 0.0000 0.5000  4 Sc 3.07, 4 Ba 3.30, 2 Zr 3.44
Zr: 0.5000 0.5000 0.0000  4 Sc 3.07, 4 Ba 3.30, 2 Zr 3.44
Sc: 0.0000 0.5000 0.2245  2 Zr 3.07, 6 Sc 3.35-3.44
Sc: 0.0000 0.5000 0.7755  2 Zr 3.07, 6 Sc 3.35-3.44
Sc: 0.5000 0.0000 0.2755  2 Zr 3.07, 6 Sc 3.35-3.44
Sc: 0.5000 0.0000 0.7245  2 Zr 3.07, 6 Sc 3.35-3.44

Values from the calculation:
Symmetry ... Immm, No. 71
Raw total energy ... -193.41 eV/cell
Calculated formation energy ... 0.504 eV per atom
Relative energy among the computed polymorphs ... 76 kJ/mol of formula units

(2)
# BaZrSc2

A PBEsol-optimized structure of BaZrSc2 (meta-GGA SCAN, Alexandria).

Lattice parameters (Å, degrees): 3.3662 3.3662 33.4038 90.00 90.00 120.00
Last column: nearest neighbours and their distance in Å.
Fractional coordinates of all 12 atoms:
Ba: 0.0000 0.0000 0.0000  6 Ba 3.37, 6 Sc 3.70
Ba: 0.3333 0.6667 0.6667  6 Ba 3.37, 6 Sc 3.70
Ba: 0.6667 0.3333 0.3333  6 Ba 3.37, 6 Sc 3.70
Zr: 0.0000 0.0000 0.5000  6 Sc 3.10, 6 Zr 3.37
Zr: 0.3333 0.6667 0.1667  6 Sc 3.10, 6 Zr 3.37
Zr: 0.6667 0.3333 0.8333  6 Sc 3.10, 6 Zr 3.37
Sc: 0.0000 0.0000 0.2391  3 Zr 3.10, 6 Sc 3.37
Sc: 0.0000 0.0000 0.7609  3 Zr 3.10, 6 Sc 3.37
Sc: 0.3333 0.6667 0.4276  3 Zr 3.10, 6 Sc 3.37
Sc: 0.3333 0.6667 0.9057  3 Zr 3.10, 6 Sc 3.37
Sc: 0.6667 0.3333 0.0943  3 Zr 3.10, 6 Sc 3.37
Sc: 0.6667 0.3333 0.5724  3 Zr 3.10, 6 Sc 3.37

Values from the calculation:
Symmetry ... R-3m, No. 166
Raw total energy ... -292.50 eV/cell
Calculated formation energy ... 0.306 eV per atom
Relative energy among the computed polymorphs ... 0 kJ/mol of formula units

(3)
# BaSe3

A PBEsol-optimized structure of BaSe3 (meta-GGA SCAN, Alexandria).

Lattice parameters (Å, degrees): 7.2552 7.2552 4.1502 90.00 90.00 90.00
Last column: nearest neighbours and their distance in Å.
Fractional coordinates of all 8 atoms:
Ba: 0.0000 0.0000 0.0000  12 Se 3.34-3.69
Ba: 0.5000 0.5000 0.0000  12 Se 3.34-3.69
Se: 0.0000 0.5000 0.1649  2 Se 2.40
Se: 0.1922 0.3078 0.4942  1 Se 2.40
Se: 0.3078 0.8078 0.5058  1 Se 2.40
Se: 0.5000 0.0000 0.8351  2 Se 2.40
Se: 0.6922 0.1922 0.5058  1 Se 2.40
Se: 0.8078 0.6922 0.4942  1 Se 2.40

Values from the calculation:
Symmetry ... P-42_1m, No. 113
Raw total energy ... -209.24 eV/cell
E_form (uncorrected) ... -1.209 eV/atom

(4)
# BaSe3

A PBEsol-optimized structure of BaSe3 (meta-GGA SCAN, Alexandria).

Lattice parameters (Å, degrees): 7.5956 7.4540 9.6110 90.00 90.00 90.00
Last column: nearest neighbours and their distance in Å.
Fractional coordinates of all 16 atoms:
Ba: 0.1883 0.2500 0.0511  8 Se 3.25-3.56
Ba: 0.3117 0.7500 0.5511  8 Se 3.25-3.56
Ba: 0.6883 0.2500 0.4489  8 Se 3.25-3.56
Ba: 0.8117 0.7500 0.9489  8 Se 3.25-3.56
Se: 0.1015 0.7500 0.2396  2 Se 2.46
Se: 0.1026 0.5047 0.7851  1 Se 2.46
Se: 0.1026 0.9953 0.7851  1 Se 2.46
Se: 0.3974 0.0047 0.2851  1 Se 2.46
Se: 0.3974 0.4953 0.2851  1 Se 2.46
Se: 0.3985 0.2500 0.7396  2 Se 2.46
Se: 0.6015 0.7500 0.2604  2 Se 2.46
Se: 0.6026 0.5047 0.7149  1 Se 2.46
Se: 0.6026 0.9953 0.7149  1 Se 2.46
Se: 0.8974 0.0047 0.2149  1 Se 2.46
Se: 0.8974 0.4953 0.2149  1 Se 2.46
Se: 0.8985 0.2500 0.7604  2 Se 2.46

Values from the calculation:
Symmetry ... Pnma, No. 62
Raw total energy ... -416.74 eV/cell
E_form (uncorrected) ... -1.100 eV/atom

The records above give, respectively, theoretical density values of 4.81, 4.84, 5.69, 4.57 g/cm3.